# 1
Here is a relaxed structure of BeAs2F from Alexandria via LeMat-Bulk. Energies are from PBE-GGA.

Lattice parameters (Å, degrees): 4.249 4.249 4.249 60.00 60.00 60.00
Fractional coordinates of all 4 atoms:
Be1 0.000 0.000 0.000
As1 0.250 0.250 0.250
As2 0.750 0.750 0.750
F1 0.500 0.500 0.500

Computed properties:
**Space group**: No. 225

# 2
Here is a relaxed structure of BeAsF2 from Alexandria via LeMat-Bulk. Energies are from PBE-GGA.

Lattice parameters (Å, degrees): 10.238 10.238 10.238 16.70 16.70 16.70
Fractional coordinates of all 4 atoms:
Be1 0.000 0.000 0.000
As1 0.500 0.500 0.500
F1 0.045 0.045 0.045
F2 0.955 0.955 0.955

Computed properties:
**Space group**: No. 166

Respective energy relative to the lowest polymorph listed for this composition values: 0 349 meV/atom.
Respective spin magnetization values: 0.00 0.21 μB/cell.